# ScSbTe2Se | the Alexandria database | GGA-PBEsol | optimized geometry
# crystal system	tetragonal
# raw formation energy	1.32	eV per formula unit
# E	-20.74	eV per cell
data_ScSbTe2Se
_space_group_name_H-M_alt 'P 4/m m m'
_space_group_IT_number 123
_space_group_name_Hall '-P 4 2'
_cell_length_a 5.3787
_cell_length_b 5.3787
_cell_length_c 5.1992
_cell_angle_alpha 90.00
_cell_angle_beta 90.00
_cell_angle_gamma 90.00
loop_
_atom_site_label
_atom_site_fract_x
_atom_site_fract_y
_atom_site_fract_z
Sc1 0.0000 0.0000 0.0000
Sb1 0.5000 0.5000 0.0000
Te1 0.0000 0.5000 0.5000
Se1 0.5000 0.5000 0.5000